Record 1
First-principles (PBE-GGA) data for an optimized crystal structure of LaFeBr2, as listed in Alexandria.

Lattice parameters (Å, degrees): 3.7078 3.7078 27.6256 90.00 90.00 120.00
Space group R-3m (No. 166, hexagonal axes)
Inequivalent atoms, fractional coordinates:
La: 0.0000 0.0000 0.0000 [3 per cell]
Fe: 0.0000 0.0000 0.5000 [3 per cell]
Br: 0.0000 0.0000 0.1107 [6 per cell]

Relative energy among the computed polymorphs ... 359.5 meV per atom
Volume ... 27.41 Å³/atom
Total magnetization ... 2.80 μB/f.u.
Fermi-level density of states ... 3.7 states/eV/f.u.

=====

Record 2
First-principles (PBE-GGA) data for an optimized crystal structure of LaFeBr2, as listed in Alexandria.

Lattice parameters (Å, degrees): 7.476 7.476 7.476 90.00 90.00 90.00
Space group F-43m (No. 216)
Inequivalent atoms, fractional coordinates:
La: 0.000 0.000 0.000 [4 per cell]
Fe: 0.250 0.250 0.250 [4 per cell]
Br: 0.000 0.000 0.500 [4 per cell]
Br: 0.250 0.250 0.750 [4 per cell]

Relative energy among the computed polymorphs ... 421.2 meV per atom
Volume ... 26.11 Å³/atom
Total magnetization ... 3.00 μB/f.u.
Fermi-level density of states ... 8.4 states/eV/f.u.

=====

Record 3
First-principles (PBE-GGA) data for an optimized crystal structure of LaFeBr2, as listed in Alexandria.

Lattice parameters (Å, degrees): 4.864 4.864 19.233 90.00 90.00 90.00
Space group I-42d (No. 122)
Inequivalent atoms, fractional coordinates:
La: 0.000 0.000 0.000 [4 per cell]
Fe: 0.000 0.000 0.500 [4 per cell]
Br: 0.237 0.250 0.625 [8 per cell]

Relative energy among the computed polymorphs ... 263.0 meV per atom
Volume ... 28.44 Å³/atom
Total magnetization ... 3.00 μB/f.u.
Fermi-level density of states ... 5.3 states/eV/f.u.

=====

Record 4
First-principles (PBE-GGA) data for an optimized crystal structure of La3FeBr, as listed in Alexandria.

Lattice parameters (Å, degrees): 5.358 5.358 5.358 90.00 90.00 90.00
Space group Pm-3m (No. 221)
Inequivalent atoms, fractional coordinates:
La: 0.000 0.000 0.500 [3 per cell]
Fe: 0.000 0.000 0.000 [1 per cell]
Br: 0.500 0.500 0.500 [1 per cell]

Relative energy among the computed polymorphs ... 209.4 meV per atom
Volume ... 30.76 Å³/atom
Total magnetization ... 0.00 μB/f.u.
Fermi-level density of states ... 6.5 states/eV/f.u.

=====

Record 5
First-principles (PBE-GGA) data for an optimized crystal structure of LaFeBr2, as listed in Alexandria.

Lattice parameters (Å, degrees): 3.694 4.735 13.508 90.00 90.00 90.00
Space group Immm (No. 71)
Inequivalent atoms, fractional coordinates:
La: 0.000 0.000 0.000 [2 per cell]
Fe: 0.000 0.000 0.500 [2 per cell]
Br: 0.000 0.500 0.140 [4 per cell]

Relative energy among the computed polymorphs ... 27.5 meV per atom
Volume ... 29.53 Å³/atom
Total magnetization ... 1.64 μB/f.u.
Fermi-level density of states ... 3.2 states/eV/f.u.

=====

Record 6
First-principles (PBE-GGA) data for an optimized crystal structure of La2FeBr, as listed in Alexandria.

Lattice parameters (Å, degrees): 4.290 4.290 6.092 90.00 90.00 90.00
Space group P4mm (No. 99)
Inequivalent atoms, fractional coordinates:
La: 0.000 0.000 0.000 [1 per cell]
La: 0.500 0.500 0.407 [1 per cell]
Fe: 0.500 0.500 0.052 [1 per cell]
Br: 0.000 0.000 0.504 [1 per cell]

Relative energy among the computed polymorphs ... 61.1 meV per atom
Volume ... 28.04 Å³/atom
Total magnetization ... 0.00 μB/f.u.
Fermi-level density of states ... 1.6 states/eV/f.u.

=====

Record 7
First-principles (PBE-GGA) data for an optimized crystal structure of La2FeBr, as listed in Alexandria.

Lattice parameters (Å, degrees): 3.550 3.510 8.236 90.00 94.18 90.00
Space group P2/m (No. 10)
Inequivalent atoms, fractional coordinates:
La: 0.075 0.000 0.294 [2 per cell]
Fe: 0.500 0.500 0.500 [1 per cell]
Br: 0.500 0.500 0.000 [1 per cell]

Relative energy among the computed polymorphs ... 48.2 meV per atom
Volume ... 25.60 Å³/atom
Total magnetization ... 0.46 μB/f.u.
Fermi-level density of states ... 2.4 states/eV/f.u.

=====

Record 8
First-principles (PBE-GGA) data for an optimized crystal structure of NaLaFe2Br, as listed in Alexandria.

Lattice parameters (Å, degrees): 4.716 4.716 6.040 90.00 90.00 90.00
Space group P4/mmm (No. 123)
Inequivalent atoms, fractional coordinates:
Na: 0.000 0.000 0.000 [1 per cell]
La: 0.000 0.000 0.500 [1 per cell]
Fe: 0.000 0.500 0.000 [2 per cell]
Br: 0.500 0.500 0.500 [1 per cell]

DFT total energy ... -3.891 eV per atom
Volume ... 26.87 Å³/atom
Total magnetization ... 5.19 μB/f.u.
Fermi-level density of states ... 7.4 states/eV/f.u.

=====

Record 9
First-principles (PBE-GGA) data for an optimized crystal structure of La6FePd2Br3, as listed in Alexandria.

Lattice parameters (Å, degrees): 7.288 12.652 8.257 90.00 107.05 90.00
Space group C2/m (No. 12)
Inequivalent atoms, fractional coordinates:
La: 0.221 0.155 0.198 [8 per cell]
La: 0.245 0.000 0.803 [4 per cell]
Fe: 0.000 0.000 0.000 [2 per cell]
Pd: 0.000 0.333 0.000 [4 per cell]
Br: 0.000 0.163 0.500 [4 per cell]
Br: 0.000 0.500 0.500 [2 per cell]

DFT total energy ... -5.429 eV per atom
Volume ... 30.33 Å³/atom
Total magnetization ... 0.00 μB/f.u.
Fermi-level density of states ... 7.0 states/eV/f.u.

=====

Record 10
First-principles (PBE-GGA) data for an optimized crystal structure of La6FeRh2Br3, as listed in Alexandria.

Lattice parameters (Å, degrees): 7.164 12.413 8.284 90.00 106.71 90.00
Space group C2/m (No. 12)
Inequivalent atoms, fractional coordinates:
La: 0.225 0.160 0.195 [8 per cell]
La: 0.245 0.500 0.195 [4 per cell]
Fe: 0.000 0.000 0.000 [2 per cell]
Rh: 0.000 0.333 0.000 [4 per cell]
Br: 0.000 0.165 0.500 [4 per cell]
Br: 0.000 0.500 0.500 [2 per cell]

DFT total energy ... -5.819 eV per atom
Volume ... 29.40 Å³/atom
Total magnetization ... 0.00 μB/f.u.
Fermi-level density of states ... 3.9 states/eV/f.u.

=====

Record 11
First-principles (PBE-GGA) data for an optimized crystal structure of La6FeS2Br3, as listed in Alexandria.

Lattice parameters (Å, degrees): 7.374 12.528 7.722 90.00 109.53 90.00
Space group C2/m (No. 12)
Inequivalent atoms, fractional coordinates:
La: 0.224 0.154 0.203 [8 per cell]
La: 0.242 0.500 0.221 [4 per cell]
Fe: 0.000 0.000 0.000 [2 per cell]
S: 0.000 0.332 0.000 [4 per cell]
Br: 0.000 0.178 0.500 [4 per cell]
Br: 0.000 0.500 0.500 [2 per cell]

DFT total energy ... -5.653 eV per atom
Volume ... 28.02 Å³/atom
Total magnetization ... 0.00 μB/f.u.
Fermi-level density of states ... 9.5 states/eV/f.u.

=====

Record 12
First-principles (PBE-GGA) data for an optimized crystal structure of La2FeSbBr, as listed in Alexandria.

Lattice parameters (Å, degrees): 5.473 5.473 4.758 90.00 90.00 90.00
Space group P4/mmm (No. 123)
Inequivalent atoms, fractional coordinates:
La: 0.000 0.500 0.000 [2 per cell]
Fe: 0.000 0.000 0.000 [1 per cell]
Sb: 0.000 0.000 0.500 [1 per cell]
Br: 0.500 0.500 0.500 [1 per cell]

DFT total energy ... -5.475 eV per atom
Volume ... 28.50 Å³/atom
Total magnetization ... 0.00 μB/f.u.
Fermi-level density of states ... 4.6 states/eV/f.u.

=====

Record 13
First-principles (PBE-GGA) data for an optimized crystal structure of La6FeSe2Br3, as listed in Alexandria.

Lattice parameters (Å, degrees): 7.615 12.917 7.586 90.00 109.97 90.00
Space group C2/m (No. 12)
Inequivalent atoms, fractional coordinates:
La: 0.218 0.148 0.208 [8 per cell]
La: 0.242 0.000 0.765 [4 per cell]
Fe: 0.000 0.000 0.000 [2 per cell]
Se: 0.000 0.333 0.000 [4 per cell]
Br: 0.000 0.184 0.500 [4 per cell]
Br: 0.000 0.500 0.500 [2 per cell]

DFT total energy ... -5.493 eV per atom
Volume ... 29.22 Å³/atom
Total magnetization ... 0.00 μB/f.u.
Fermi-level density of states ... 8.7 states/eV/f.u.